Record 1
The following is a DFT calculation (PBE-GGA) of Li3AgPb after structural relaxation.

Cell and atoms, written as extended XYZ:
```
10
Lattice="-3.8653 -0.4260 2.7031 2.7797 -2.4021 3.5963 3.4181 6.8236 1.9159" Properties=species:S:1:pos:R:3 pbc="T T T"
Li -1.0560 -0.0473 2.6219
Li -0.4626 2.5581 3.9036
Li 0.0000 0.0000 0.0000
Li 3.3885 4.0428 5.5933
Li 2.7950 1.4374 4.3117
Li 1.3898 -1.2011 1.7981
Ag 1.1374 2.4547 6.2725
Ag 1.1950 1.5407 1.9428
Pb 1.8083 4.2684 3.2907
Pb 0.5241 -0.2729 4.9246
```

Output
**Energy relative to the elements**: -0.195 eV/atom
**Symmetry**: P2_1/m, No. 11
**Magnetization**: 0.000 μB/atom

Record 2
The following is a DFT calculation (PBE-GGA) of BaYOF2 after structural relaxation.

Cell and atoms, written as extended XYZ:
```
5
Lattice="4.8195 0.0000 0.0000 0.0000 4.8195 0.0000 0.0000 0.0000 5.2174" Properties=species:S:1:pos:R:3 pbc="T T T"
Y 2.4097 2.4097 2.6087
Ba 0.0000 0.0000 0.0000
O 0.0000 0.0000 2.6087
F 0.0000 2.4097 0.0000
F 2.4097 0.0000 0.0000
```

Output
**Uncorrected formation energy**: -1.97 eV/atom
**Symmetry**: P4/mmm, No. 123
**Magnetization**: 0.169 μB/atom

Record 3
The following is a DFT calculation (PBE-GGA) of CrCuGeAu after structural relaxation.

Cell and atoms, written as extended XYZ:
```
4
Lattice="-0.7636 3.8647 2.0133 -4.1367 1.1717 1.0426 -1.2775 0.0736 4.2350" Properties=species:S:1:pos:R:3 pbc="T T T"
Cr -3.0889 2.5550 3.6454
Ge -4.6334 3.8326 5.4681
Au -1.5445 1.2775 1.8227
Cu 0.0000 0.0000 0.0000
```

Output
**Energy relative to the elements**: 0.133 eV/atom
**Symmetry**: F-43m, No. 216
**Magnetization**: 0.810 μB/atom

Record 4
The following is a DFT calculation (PBE-GGA) of Ac3TmIn after structural relaxation.

Cell and atoms, written as extended XYZ:
```
10
Lattice="5.1627 0.0000 1.1798 0.0000 5.2761 0.0000 -0.3564 0.0000 13.4451" Properties=species:S:1:pos:R:3 pbc="T T T"
Ac 3.9218 1.3190 2.4302
Ac 1.6653 1.3190 12.3045
Ac 2.7847 1.3190 7.4060
Ac 1.3255 3.9571 1.9055
Ac 4.2317 3.9571 12.9596
Ac 0.2061 3.9571 6.8041
Tm 2.2155 3.9571 9.8969
Tm 0.7753 1.3190 4.3131
In 3.3502 3.9571 4.9316
In 4.8034 1.3190 10.4583
```

Output
**Energy relative to the elements**: -0.098 eV/atom
**Symmetry**: Cmcm, No. 63
**Magnetization**: 0.000 μB/atom

Record 5
The following is a DFT calculation (PBE-GGA) of KSbSe2O8 after structural relaxation.

Cell and atoms, written as extended XYZ:
```
12
Lattice="-5.0436 -0.1394 -1.7671 -1.1283 -4.1987 -3.1109 -2.5570 -4.6413 6.5701" Properties=species:S:1:pos:R:3 pbc="T T T"
K -1.2785 -2.3207 3.2851
Sb 0.0000 0.0000 0.0000
Se -4.4608 -3.7603 -1.6381
Se -4.2681 -5.2192 3.3301
O -5.9154 -4.8045 3.2278
O -4.8110 -3.5550 -3.2785
O -5.3607 -4.8870 -0.8566
O -3.3682 -4.0924 2.5486
O -3.9180 -5.4245 4.9705
O -4.0528 -6.7356 2.5885
O -4.6761 -2.2439 -0.8964
O -2.8135 -4.1750 -1.5357
```

Output
**Uncorrected formation energy**: -0.98 eV/atom
**Symmetry**: C2/m, No. 12
**Magnetization**: 0.000 μB/atom

Record 6
The following is a DFT calculation (PBE-GGA) of TaHNF2 after structural relaxation.

Cell and atoms, written as extended XYZ:
```
5
Lattice="-1.5309 -2.5841 2.8200 -2.7868 -1.3269 -2.7288 2.4848 -2.7709 -1.1902" Properties=species:S:1:pos:R:3 pbc="T T T"
H -0.9164 -3.3410 -0.5495
N 1.2424 -1.3855 -0.5951
F -1.3934 -0.6635 -1.3644
F -0.7655 -1.2920 1.4100
Ta 0.0000 0.0000 0.0000
```

Output
**Symmetry**: P4/mmm, No. 123
**Magnetization**: 0.208 μB/atom

Record 7
The following is a DFT calculation (PBE-GGA) of BaLiTe after structural relaxation.

Cell and atoms, written as extended XYZ:
```
3
Lattice="5.0658 0.0000 0.0000 2.5329 4.3871 0.0000 2.5329 1.4624 4.1362" Properties=species:S:1:pos:R:3 pbc="T T T"
Ba 5.0658 2.9247 2.0681
Li 7.5987 4.3871 3.1022
Te 0.0000 0.0000 0.0000
```

Output
**Uncorrected formation energy**: -0.85 eV/atom
**Symmetry**: F-43m, No. 216
**Magnetization**: 0.000 μB/atom

Record 8
The following is a DFT calculation (PBE-GGA) of KCrOs2 after structural relaxation.

Cell and atoms, written as extended XYZ:
```
4
Lattice="3.1469 0.0000 0.0000 0.0000 3.1469 0.0000 0.0000 0.0000 8.1719" Properties=species:S:1:pos:R:3 pbc="T T T"
Cr 0.0000 0.0000 3.2039
K 1.5734 1.5734 6.1833
Os 0.0000 0.0000 0.6963
Os 1.5734 1.5734 2.1743
```

Output
**Energy relative to the elements**: 1.014 eV/atom
**Symmetry**: P4mm, No. 99
**Magnetization**: 0.299 μB/atom

Record 9
The following is a DFT calculation (PBE-GGA) of HfSbAuN2 after structural relaxation.

Cell and atoms, written as extended XYZ:
```
5
Lattice="-2.4312 1.2495 -3.0490 0.8238 -4.4853 -2.4949 -3.2305 -1.6501 1.8998" Properties=species:S:1:pos:R:3 pbc="T T T"
Hf -2.4190 -2.4430 -1.8221
N -1.6153 -0.8250 0.9499
N -1.2156 0.6247 -1.5245
Au 0.4119 -2.2427 -1.2475
Sb 0.0000 0.0000 0.0000
```

Output
**Uncorrected formation energy**: 1.13 eV/atom
**Symmetry**: P4/mmm, No. 123
**Magnetization**: 0.000 μB/atom

Record 10
The following is a DFT calculation (PBE-GGA) of Th2MgOs after structural relaxation.

Cell and atoms, written as extended XYZ:
```
4
Lattice="4.1035 -0.0046 0.0015 -2.0554 3.5645 -0.0079 -0.0039 -2.3444 8.4624" Properties=species:S:1:pos:R:3 pbc="T T T"
Th 2.5467 0.8044 3.1327
Th 0.4979 -0.3723 6.2100
Mg -1.5574 3.1752 0.4335
Os 0.4948 1.9980 4.6676
```

Output
**Energy relative to the elements**: -0.086 eV/atom
**Symmetry**: P-1, No. 2
**Magnetization**: 0.000 μB/atom

Record 11
The following is a DFT calculation (PBE-GGA) of Th3Tc2Pb after structural relaxation.

Cell and atoms, written as extended XYZ:
```
12
Lattice="4.6992 0.0000 0.0000 0.0000 8.8654 -0.2634 -2.3496 -2.3045 7.6203" Properties=species:S:1:pos:R:3 pbc="T T T"
Th 0.0000 0.8207 3.5980
Th 0.0000 5.8878 0.9152
Th 0.0000 3.7840 5.8044
Th 2.3496 5.7402 3.7589
Th 2.3496 2.7769 1.5526
Th 2.3496 0.6731 6.4417
Tc 0.0000 3.9307 2.7087
Tc 2.3496 2.6303 4.6482
Tc 2.3496 5.4648 6.5248
Tc 0.0000 1.0961 0.8321
Pb 0.0000 -1.6307 6.1128
Pb 2.3496 8.1916 1.2441
```

Output
**Energy relative to the elements**: -0.088 eV/atom
**Symmetry**: C2/m, No. 12
**Magnetization**: 0.000 μB/atom

Record 12
The following is a DFT calculation (PBE-GGA) of AcSc2Tc after structural relaxation.

Cell and atoms, written as extended XYZ:
```
4
Lattice="-2.3208 2.5581 0.0668 -3.0108 -0.3556 -1.6562 -5.8008 -3.1289 7.6145" Properties=species:S:1:pos:R:3 pbc="T T T"
Sc -8.6144 -0.9493 5.0552
Sc -2.5181 0.0228 0.9699
Ac -5.5662 -0.4632 3.0126
Tc 0.0000 0.0000 0.0000
```

Output
**Energy relative to the elements**: 0.162 eV/atom
**Symmetry**: R-3m, No. 166
**Magnetization**: 0.000 μB/atom

Final energy: -26.55 -26.95 -21.08 -40.06 -63.58 -32.67 -9.53 -29.13 -28.35 -28.01 -94.46 -26.49 (eV/cell)